Entry from Alexandria via LeMat-Bulk: Ac2VOsO8 after structural relaxation (GGA+U).

Electronic total energy = -7.675 eV per atom
Total magnetic moment = 0.09 μB per atom
V = 13.57 A^3/atom
Crystal system = triclinic

Lattice parameters (Å, degrees): 4.420 5.469 6.743 90.53 90.18 92.06
Space group P-1 (No. 2)
Unique sites:
Ac 0.193 0.001 0.246
V 0.500 0.500 0.000
Os 0.500 0.500 0.500
O 0.253 0.560 0.254
O 0.268 0.223 0.558
O 0.294 0.207 0.942
O 0.314 0.692 0.731